[1]
## NaH3Pd (GGA-PBE)

Data for an optimized crystal structure of NaH3Pd.

a = 5.230 Å, b = 5.230 Å, c = 8.157 Å
α = 109.95°, β = 109.95°, γ = 31.71°
Fractional coordinates of all 10 atoms:
Na 0.000 0.000 0.000
Na 0.619 0.619 0.452
H 0.215 0.215 0.254
H 0.405 0.405 0.181
H 0.614 0.614 0.841
H 0.677 0.677 0.935
H 0.842 0.842 0.716
H 0.944 0.944 0.519
Pd 0.398 0.398 0.624
Pd 0.820 0.820 0.240

The theoretical density comes out at 4.0 g/cm³. Its crystal system is monoclinic. The value obtained for the energy relative to the lowest polymorph listed for this composition is 54 kJ/mol of formula units. Its total magnetization is 0.00 μB per formula unit.

=====

[2]
## U3PaC (GGA-PBE)

Data for an optimized crystal structure of U3PaC.

a = 4.691 Å, b = 4.691 Å, c = 4.691 Å
α = 90.00°, β = 90.00°, γ = 90.00°
Fractional coordinates of all 5 atoms:
U 0.000 0.000 0.500
U 0.000 0.500 0.000
U 0.500 0.000 0.000
Pa 0.500 0.500 0.500
C 0.000 0.000 0.000

The theoretical density comes out at 15.4 g/cm³. Its crystal system is cubic. Its total magnetization is 3.48 μB per formula unit. Its formation energy is 24.8 kJ per mole of atoms.

=====

[3]
## LaPrMgGa (GGA-PBE)

Data for an optimized crystal structure of LaPrMgGa.

a = 5.413 Å, b = 5.413 Å, c = 5.413 Å
α = 60.00°, β = 60.00°, γ = 60.00°
Fractional coordinates of all 4 atoms:
La 0.000 0.000 0.000
Pr 0.500 0.500 0.500
Mg 0.250 0.250 0.250
Ga 0.750 0.750 0.750

The theoretical density comes out at 5.5 g/cm³. Its crystal system is cubic. Its total magnetization is 0.00 μB per formula unit. Its formation energy is -32.0 kJ per mole of atoms.

=====

Which of these has the highest theoretical density?
U3PaC

=====

Which of these has the highest theoretical density?
U3PaC